Entry 1:
Compound: SrBPt2
Source: the Open Quantum Materials Database
Functional: PBE
Structure: optimized geometry

Cell lengths 8.048, 8.048, 8.048 Å; angles 40.94, 40.94, 40.94 degrees
Fractional positions:
1 Pt 0.434 0.434 0.924
2 Pt 0.924 0.434 0.434
3 B 0.672 0.672 0.672
4 Pt 0.566 0.566 0.076
5 Sr 0.857 0.857 0.857
6 B 0.500 0.500 0.500
7 B 0.328 0.328 0.328
8 Pt 0.434 0.924 0.434
9 Sr 0.143 0.143 0.143
10 Pt 0.566 0.076 0.566
11 Pt 0.076 0.566 0.566
12 Sr 0.000 0.000 0.000

Entry 2:
Compound: InSiMo4N2
Source: the Open Quantum Materials Database
Functional: PBE
Structure: optimized geometry

Cell lengths 3.008, 3.008, 13.725 Å; angles 90.00, 90.00, 120.00 degrees
Fractional positions:
1 Si 0.667 0.333 0.500
2 Mo 0.000 0.000 0.639
3 Mo 0.000 0.000 0.361
4 Mo 0.667 0.333 0.175
5 In 0.000 0.000 0.000
6 Mo 0.667 0.333 0.825
7 N 0.333 0.667 0.734
8 N 0.333 0.667 0.266

Entry 3:
Compound: LiScFeGe
Source: the Open Quantum Materials Database
Functional: PBE
Structure: optimized geometry

Cell lengths 4.378, 4.378, 4.378 Å; angles 60.00, 60.00, 60.00 degrees
Last column: magnetic moment on the atom in μB.
Fractional positions:
1 Li 0.750 0.750 0.750  -0.03
2 Ge 0.250 0.250 0.250  0.00
3 Sc 0.000 0.000 0.000  -0.20
4 Fe 0.500 0.500 0.500  2.30

Summary:
The relative energy among the computed polymorphs is 0.024 eV/atom.

Entry 4:
Compound: Mg2TaCu
Source: the Open Quantum Materials Database
Functional: PBE
Structure: optimized geometry

Cell lengths 4.571, 4.571, 4.571 Å; angles 60.00, 60.00, 60.00 degrees
Fractional positions:
1 Mg 0.000 0.000 0.000
2 Ta 0.500 0.500 0.500
3 Mg 0.750 0.750 0.750
4 Cu 0.250 0.250 0.250

Entry 5:
Compound: Y2ErS3
Source: the Open Quantum Materials Database
Functional: PBE
Structure: optimized geometry

Cell lengths 6.740, 6.740, 6.740 Å; angles 146.34, 131.79, 60.08 degrees
Fractional positions:
1 S 0.663 0.163 0.500
2 Y 0.169 0.169 0.000
3 Y 0.831 0.831 0.000
4 Er 0.500 0.500 0.000
5 S 0.000 0.500 0.500
6 S 0.337 0.837 0.500

Entry 6:
Compound: TaBe2Au
Source: the Open Quantum Materials Database
Functional: PBE
Structure: optimized geometry

Cell lengths 4.319, 4.319, 4.319 Å; angles 60.00, 60.00, 60.00 degrees
Fractional positions:
1 Be 0.000 0.000 0.000
2 Be 0.750 0.750 0.750
3 Au 0.250 0.250 0.250
4 Ta 0.500 0.500 0.500

Record order is preserved below.
Electronic total energy: -67.39, -68.48, -22.18, -17.07, -41.77, -21.22 eV for the cell shown